No. 1
Ce2Dy | PBE | optimized geometry Values from VASP.

```
&SYSTEM
  ibrav = 0, nat = 3, ntyp = 2
/
ATOMIC_SPECIES
Ce 140.12 Ce.upf
Dy 162.50 Dy.upf
CELL_PARAMETERS angstrom
3.423 0.000 0.000
0.000 3.423 0.000
-1.712 -1.712 7.361
ATOMIC_POSITIONS crystal
Ce 0.673 0.673 0.346
Ce 0.327 0.327 0.654
Dy 0.000 0.000 0.000
```

## Properties
* volume: 28.76 A^3/atom
* energy above the most stable polymorph in this dataset: 0.000 eV/atom
* SG: I4/mmm, No. 139
* electronic total energy: -0.39790 Ry per atom

No. 2
ZrNi2BRu | PBE | optimized geometry Values from VASP.

```
&SYSTEM
  ibrav = 0, nat = 5, ntyp = 4
/
ATOMIC_SPECIES
Ru 101.07 Ru.upf
Ni 58.69 Ni.upf
B 10.81 B.upf
Zr 91.22 Zr.upf
CELL_PARAMETERS angstrom
-0.588 -1.851 3.442
3.904 -0.121 0.602
-0.184 3.637 1.925
ATOMIC_POSITIONS crystal
Ru 0.000 0.000 0.500
Ni 0.000 0.500 0.000
Ni 0.500 0.000 0.000
B 0.000 0.000 0.000
Zr 0.500 0.500 0.500
```

## Properties
* volume: 12.87 A^3/atom
* SG: P4/mmm, No. 123
* electronic total energy: -0.56084 Ry per atom

No. 3
Nd2ThPbC | PBE | optimized geometry Values from VASP.

```
&SYSTEM
  ibrav = 0, nat = 5, ntyp = 4
/
ATOMIC_SPECIES
Nd 144.24 Nd.upf
C 12.01 C.upf
Pb 207.20 Pb.upf
Th 232.04 Th.upf
CELL_PARAMETERS angstrom
-1.415 0.845 -4.767
2.145 -4.477 -1.430
-4.470 -2.428 0.897
ATOMIC_POSITIONS crystal
Nd 0.000 0.500 0.000
Nd 0.000 0.000 0.500
C 0.000 0.000 0.000
Pb 0.500 0.500 0.500
Th 0.500 0.000 0.000
```

## Properties
* volume: 26.92 A^3/atom
* SG: P4/mmm, No. 123
* electronic total energy: -0.46581 Ry per atom

No. 4
ScB3Pd | PBE | optimized geometry Values from VASP.

```
&SYSTEM
  ibrav = 0, nat = 5, ntyp = 3
/
ATOMIC_SPECIES
Pd 106.42 Pd.upf
B 10.81 B.upf
Sc 44.96 Sc.upf
CELL_PARAMETERS angstrom
-0.584 -3.739 1.924
2.839 1.083 2.965
-3.102 1.694 2.351
ATOMIC_POSITIONS crystal
Pd 0.500 0.500 0.500
B 0.500 0.000 0.000
B 0.000 0.000 0.500
B 0.000 0.500 0.000
Sc 0.000 0.000 0.000
```

## Properties
* volume: 15.30 A^3/atom
* energy above the most stable polymorph in this dataset: 1.171 eV/atom
* SG: Pm-3m, No. 221
* electronic total energy: -0.31279 Ry per atom

No. 5
Tl3Cd4In4 | PBE | optimized geometry Values from VASP.

```
&SYSTEM
  ibrav = 0, nat = 11, ntyp = 3
/
ATOMIC_SPECIES
Tl 204.38 Tl.upf
Cd 112.41 Cd.upf
In 114.82 In.upf
CELL_PARAMETERS angstrom
5.397 0.000 -0.869
-0.090 3.259 -0.556
-0.063 1.188 16.800
ATOMIC_POSITIONS crystal
Tl 0.000 0.000 0.000
Tl 0.642 0.142 0.284
Tl 0.358 0.858 0.716
Cd 0.267 0.267 0.534
Cd 0.092 0.592 0.184
Cd 0.733 0.733 0.466
Cd 0.908 0.408 0.816
In 0.816 0.316 0.631
In 0.547 0.547 0.095
In 0.184 0.684 0.369
In 0.453 0.453 0.905
```

## Properties
* volume: 27.18 A^3/atom
* energy above the most stable polymorph in this dataset: 0.000 eV/atom
* SG: Immm, No. 71
* electronic total energy: -0.14207 Ry per atom

No. 6
Tc2AgRu | PBE | optimized geometry Values from VASP.

```
&SYSTEM
  ibrav = 0, nat = 4, ntyp = 3
/
ATOMIC_SPECIES
Tc 98.00 Tc.upf
Ru 101.07 Ru.upf
Ag 107.87 Ag.upf
CELL_PARAMETERS angstrom
-1.585 1.979 0.898
0.060 -2.233 1.497
7.255 3.544 4.997
ATOMIC_POSITIONS crystal
Tc 0.500 0.500 0.234
Tc 0.000 0.000 0.000
Ru 0.500 0.500 0.766
Ag 0.000 0.000 0.501
```

## Properties
* volume: 15.43 A^3/atom
* energy above the most stable polymorph in this dataset: 0.185 eV/atom
* SG: Cmm2, No. 35
* electronic total energy: -0.57299 Ry per atom

No. 7
Pm2ThCd6 | PBE | optimized geometry Values from VASP.

```
&SYSTEM
  ibrav = 0, nat = 9, ntyp = 3
/
ATOMIC_SPECIES
Pm 145.00 Pm.upf
Th 232.04 Th.upf
Cd 112.41 Cd.upf
CELL_PARAMETERS angstrom
-1.233 0.479 -3.142
7.817 -2.257 -3.412
-6.126 -6.180 1.460
ATOMIC_POSITIONS crystal
Pm 0.000 0.333 0.667
Pm 0.000 0.667 0.333
Th 0.000 0.000 0.000
Cd 0.500 0.000 0.665
Cd 0.500 0.000 0.335
Cd 0.500 0.665 0.000
Cd 0.500 0.335 0.000
Cd 0.500 0.665 0.665
Cd 0.500 0.335 0.335
```

## Properties
* volume: 25.54 A^3/atom
* SG: P6/mmm, No. 191
* electronic total energy: -0.20455 Ry per atom

No. 8
MnMo2Pt | PBE | optimized geometry Values from VASP.

```
&SYSTEM
  ibrav = 0, nat = 4, ntyp = 3
/
ATOMIC_SPECIES
Mo 95.94 Mo.upf
Mn 54.94 Mn.upf
Pt 195.08 Pt.upf
CELL_PARAMETERS angstrom
-0.543 -3.016 -8.620
1.656 -4.432 -7.830
-0.848 -5.407 -7.331
ATOMIC_POSITIONS crystal
Mo 0.495 0.495 0.495
Mo 0.005 0.005 0.005
Mn 0.750 0.750 0.750
Pt 0.250 0.250 0.250
```

## Properties
* volume: 14.56 A^3/atom
* energy above the most stable polymorph in this dataset: 0.220 eV/atom
* SG: R-3m, No. 166
* electronic total energy: -0.67006 Ry per atom

No. 9
TlFeAs | PBE | optimized geometry Values from VASP.

```
&SYSTEM
  ibrav = 0, nat = 3, ntyp = 3
/
ATOMIC_SPECIES
As 74.92 As.upf
Tl 204.38 Tl.upf
Fe 55.84 Fe.upf
CELL_PARAMETERS angstrom
4.119 0.000 0.000
-2.060 3.567 0.000
0.000 0.000 4.433
ATOMIC_POSITIONS crystal
As 0.000 0.000 0.167
Tl 0.333 0.667 0.667
Fe 0.667 0.333 0.167
```

## Properties
* volume: 21.72 A^3/atom
* energy above the most stable polymorph in this dataset: 0.327 eV/atom
* SG: P-6m2, No. 187
* electronic total energy: -0.35874 Ry per atom

No. 10
Ba2Na3Zn2 | PBE | optimized geometry Values from VASP.

```
&SYSTEM
  ibrav = 0, nat = 7, ntyp = 3
/
ATOMIC_SPECIES
Zn 65.41 Zn.upf
Na 22.99 Na.upf
Ba 137.33 Ba.upf
CELL_PARAMETERS angstrom
-0.291 0.354 4.429
-4.357 -1.319 -0.181
5.909 -11.835 1.335
ATOMIC_POSITIONS crystal
Zn 0.500 0.274 0.549
Zn 0.500 0.726 0.451
Na 0.500 0.572 0.145
Na 0.500 0.428 0.855
Na 0.000 0.000 0.000
Ba 0.000 0.830 0.659
Ba 0.000 0.170 0.341
```

## Properties
* volume: 37.97 A^3/atom
* SG: Cmmm, No. 65
* electronic total energy: -0.11553 Ry per atom

No. 11
Ba2CaGa3Sn4 | PBE | optimized geometry Values from VASP.

```
&SYSTEM
  ibrav = 0, nat = 10, ntyp = 4
/
ATOMIC_SPECIES
Ba 137.33 Ba.upf
Sn 118.71 Sn.upf
Ga 69.72 Ga.upf
Ca 40.08 Ca.upf
CELL_PARAMETERS angstrom
-0.713 0.537 -4.838
-1.613 -4.639 -0.277
-11.639 3.919 2.150
ATOMIC_POSITIONS crystal
Ba 0.000 0.500 0.766
Ba 0.500 0.000 0.234
Sn 0.000 0.500 0.348
Sn 0.500 0.500 0.000
Sn 0.000 0.000 0.000
Sn 0.500 0.000 0.652
Ga 0.500 0.000 0.875
Ga 0.000 0.500 0.125
Ga 0.000 0.000 0.500
Ca 0.500 0.500 0.500
```

## Properties
* volume: 30.17 A^3/atom
* SG: P-4m2, No. 115
* electronic total energy: -0.25923 Ry per atom

No. 12
Fe2SeBr | PBE | optimized geometry Values from VASP.

```
&SYSTEM
  ibrav = 0, nat = 4, ntyp = 3
/
ATOMIC_SPECIES
Fe 55.84 Fe.upf
Se 78.96 Se.upf
Br 79.90 Br.upf
CELL_PARAMETERS angstrom
-1.232 0.478 8.937
-1.411 -2.758 8.486
1.505 -1.310 8.811
ATOMIC_POSITIONS crystal
Fe 0.989 0.989 0.989
Fe 0.257 0.257 0.257
Se 0.534 0.534 0.534
Br 0.720 0.720 0.720
```

## Properties
* volume: 20.47 A^3/atom
* formation energy from raw total energies: 0.1 eV per formula unit
* energy above the most stable polymorph in this dataset: 0.186 eV/atom
* SG: R3m, No. 160
* electronic total energy: -0.40313 Ry per atom

No. 13
LaTlNiTe2 | PBE | optimized geometry Values from VASP.

```
&SYSTEM
  ibrav = 0, nat = 5, ntyp = 4
/
ATOMIC_SPECIES
Ni 58.69 Ni.upf
La 138.91 La.upf
Tl 204.38 Tl.upf
Te 127.60 Te.upf
CELL_PARAMETERS angstrom
5.395 0.000 0.000
0.000 4.907 0.000
0.000 0.000 5.395
ATOMIC_POSITIONS crystal
Ni 0.000 0.000 0.000
La 0.000 0.500 0.000
Tl 0.500 0.500 0.500
Te 0.500 0.000 0.000
Te 0.000 0.000 0.500
```

## Properties
* volume: 28.56 A^3/atom
* formation energy from raw total energies: -2.1 eV per formula unit
* SG: P4/mmm, No. 123
* electronic total energy: -0.31614 Ry per atom

No. 14
Ho4Tl3Cd | PBE | optimized geometry Values from VASP.

```
&SYSTEM
  ibrav = 0, nat = 8, ntyp = 3
/
ATOMIC_SPECIES
Tl 204.38 Tl.upf
Ho 164.93 Ho.upf
Cd 112.41 Cd.upf
CELL_PARAMETERS angstrom
5.138 0.000 -1.387
-0.370 5.129 -1.370
-0.491 -0.566 8.392
ATOMIC_POSITIONS crystal
Tl 0.747 0.247 0.494
Tl 0.000 0.500 0.000
Tl 0.253 0.753 0.506
Ho 0.376 0.376 0.752
Ho 0.124 0.124 0.248
Ho 0.624 0.624 0.248
Ho 0.876 0.876 0.752
Cd 0.500 0.000 0.000
```

## Properties
* volume: 26.67 A^3/atom
* energy above the most stable polymorph in this dataset: 0.000 eV/atom
* SG: C2/m, No. 12
* electronic total energy: -0.26593 Ry per atom

No. 15
NaNiTe2 | PBE | optimized geometry Values from VASP.

```
&SYSTEM
  ibrav = 0, nat = 4, ntyp = 3
/
ATOMIC_SPECIES
Te 127.60 Te.upf
Ni 58.69 Ni.upf
Na 22.99 Na.upf
CELL_PARAMETERS angstrom
0.000 3.544 3.544
3.544 0.000 3.544
3.544 3.544 0.000
ATOMIC_POSITIONS crystal
Te 0.750 0.750 0.750
Te 0.250 0.250 0.250
Ni 0.500 0.500 0.500
Na 0.000 0.000 0.000
```

## Properties
* volume: 22.26 A^3/atom
* formation energy from raw total energies: 0.3 eV per formula unit
* SG: Fm-3m, No. 225
* electronic total energy: -0.24022 Ry per atom

No. 16
ErTmCu | PBE | optimized geometry Values from VASP.

```
&SYSTEM
  ibrav = 0, nat = 6, ntyp = 3
/
ATOMIC_SPECIES
Cu 63.55 Cu.upf
Tm 168.93 Tm.upf
Er 167.26 Er.upf
CELL_PARAMETERS angstrom
-0.302 0.975 3.505
0.192 -5.803 3.532
5.950 -0.392 2.522
ATOMIC_POSITIONS crystal
Cu 0.122 0.324 0.432
Cu 0.878 0.676 0.568
Tm 0.844 0.063 0.249
Tm 0.156 0.937 0.751
Er 0.401 0.386 0.812
Er 0.599 0.614 0.188
```

## Properties
* volume: 24.12 A^3/atom
* energy above the most stable polymorph in this dataset: 0.000 eV/atom
* SG: C2/m, No. 12
* electronic total energy: -0.33391 Ry per atom

No. 17
MnInPb2Cl8 | PBE | optimized geometry Values from VASP.

```
&SYSTEM
  ibrav = 0, nat = 12, ntyp = 4
/
ATOMIC_SPECIES
Pb 207.20 Pb.upf
Cl 35.45 Cl.upf
Mn 54.94 Mn.upf
In 114.82 In.upf
CELL_PARAMETERS angstrom
-4.142 -3.311 4.040
-2.819 -2.747 -5.066
5.412 -6.286 0.397
ATOMIC_POSITIONS crystal
Pb 0.500 0.500 0.241
Pb 0.500 0.500 0.759
Cl 0.323 0.263 0.500
Cl 0.677 0.737 0.500
Cl 0.302 0.244 0.000
Cl 0.157 0.790 0.230
Cl 0.843 0.210 0.230
Cl 0.157 0.790 0.770
Cl 0.843 0.210 0.770
Cl 0.698 0.756 0.000
Mn 0.000 0.000 0.000
In 0.000 0.000 0.500
```

## Properties
* volume: 29.60 A^3/atom
* formation energy from raw total energies: -12.4 eV per formula unit
* SG: P2/m, No. 10
* electronic total energy: -0.28473 Ry per atom

No. 18
MgAlCoRu | PBE | optimized geometry Values from VASP.

```
&SYSTEM
  ibrav = 0, nat = 4, ntyp = 4
/
ATOMIC_SPECIES
Co 58.93 Co.upf
Al 26.98 Al.upf
Mg 24.30 Mg.upf
Ru 101.07 Ru.upf
CELL_PARAMETERS angstrom
-3.457 -1.144 -2.181
-0.065 -3.695 -2.089
-2.433 -3.185 1.397
ATOMIC_POSITIONS crystal
Co 0.750 0.750 0.750
Al 0.500 0.500 0.500
Mg 0.000 0.000 0.000
Ru 0.250 0.250 0.250
```

## Properties
* volume: 13.52 A^3/atom
* SG: F-43m, No. 216
* electronic total energy: -0.41557 Ry per atom

No. 19
HfSnW3 | PBE | optimized geometry Values from VASP.

```
&SYSTEM
  ibrav = 0, nat = 5, ntyp = 3
/
ATOMIC_SPECIES
W 183.84 W.upf
Sn 118.71 Sn.upf
Hf 178.49 Hf.upf
CELL_PARAMETERS angstrom
-2.948 -2.261 3.096
3.832 -1.652 2.443
-0.084 3.943 2.799
ATOMIC_POSITIONS crystal
W 0.500 0.000 0.000
W 0.000 0.500 0.000
W 0.000 0.000 0.500
Sn 0.500 0.500 0.500
Hf 0.000 0.000 0.000
```

## Properties
* volume: 22.62 A^3/atom
* energy above the most stable polymorph in this dataset: 0.072 eV/atom
* SG: Pm-3m, No. 221
* electronic total energy: -0.60297 Ry per atom

No. 20
Er2ScHg | PBE | optimized geometry Values from VASP.

```
&SYSTEM
  ibrav = 0, nat = 4, ntyp = 3
/
ATOMIC_SPECIES
Er 167.26 Er.upf
Sc 44.96 Sc.upf
Hg 200.59 Hg.upf
CELL_PARAMETERS angstrom
3.405 0.000 0.000
1.703 2.949 0.000
1.703 0.983 11.560
ATOMIC_POSITIONS crystal
Er 0.909 0.909 0.272
Er 0.091 0.091 0.728
Sc 0.500 0.500 0.500
Hg 0.000 0.000 0.000
```

## Properties
* volume: 29.02 A^3/atom
* energy above the most stable polymorph in this dataset: 0.324 eV/atom
* SG: R-3m, No. 166
* electronic total energy: -0.28138 Ry per atom